# 1
Pm5Nd3Dy4: optimized geometry, PBE.

a = 6.011 Å, b = 8.669 Å, c = 9.787 Å
α = 106.13°, β = 72.12°, γ = 69.71°
Positions (direct):
Dy: 0.860 0.222 0.058
Dy: 0.165 0.047 0.623
Dy: 0.140 0.778 0.942
Dy: 0.835 0.953 0.377
Nd: 0.000 0.500 0.500
Nd: 0.520 0.688 0.272
Nd: 0.480 0.312 0.728
Pm: 0.377 0.048 0.199
Pm: 0.500 0.500 0.500
Pm: 0.786 0.541 0.887
Pm: 0.214 0.459 0.113
Pm: 0.623 0.952 0.801

Calculated values
Excess energy over the best structure of this formula in the dataset: 2.43 eV/f.u.

---

# 2
Pm4Nd2Dy5: optimized geometry, PBE.

a = 6.922 Å, b = 6.998 Å, c = 9.498 Å
α = 77.47°, β = 68.63°, γ = 60.36°
Positions (direct):
Dy: 0.766 0.174 0.827
Dy: 0.234 0.826 0.173
Dy: 0.767 0.826 0.173
Dy: 0.000 0.500 0.500
Dy: 0.233 0.174 0.827
Nd: 0.257 0.641 0.845
Nd: 0.743 0.359 0.155
Pm: 0.283 0.276 0.159
Pm: 0.717 0.724 0.841
Pm: 0.316 0.868 0.501
Pm: 0.684 0.132 0.499

Calculated values
Excess energy over the best structure of this formula in the dataset: 0.14 eV/f.u.

---

# 3
Pm5Nd12Dy2: optimized geometry, PBE.

a = 7.236 Å, b = 10.067 Å, c = 10.555 Å
α = 69.91°, β = 90.00°, γ = 111.06°
Positions (direct):
Nd: 0.915 0.333 0.477
Nd: 0.912 0.320 0.132
Nd: 0.498 0.996 0.322
Nd: 0.418 0.333 0.477
Nd: 0.024 0.049 0.757
Nd: 0.582 0.667 0.523
Nd: 0.088 0.680 0.868
Nd: 0.976 0.951 0.243
Nd: 0.592 0.680 0.868
Nd: 0.085 0.667 0.523
Nd: 0.408 0.320 0.132
Nd: 0.502 0.004 0.678
Pm: 0.185 0.370 0.815
Pm: 0.326 0.652 0.208
Pm: 0.815 0.630 0.185
Pm: 0.000 0.000 0.500
Pm: 0.674 0.348 0.792
Dy: 0.279 0.000 0.000
Dy: 0.721 0.000 0.000

Calculated values
Excess energy over the best structure of this formula in the dataset: 0.66 eV/f.u.

---

# 4
Pm2Nd8Dy: optimized geometry, PBE.

a = 5.181 Å, b = 8.196 Å, c = 9.680 Å
α = 104.67°, β = 105.52°, γ = 90.00°
Positions (direct):
Pm: 0.773 0.364 0.546
Pm: 0.227 0.636 0.454
Nd: 0.681 0.910 0.363
Nd: 0.319 0.090 0.637
Nd: 0.954 0.271 0.909
Nd: 0.864 0.819 0.728
Nd: 0.409 0.548 0.819
Nd: 0.591 0.452 0.181
Nd: 0.046 0.729 0.091
Nd: 0.136 0.181 0.272
Dy: 0.500 0.000 0.000

Calculated values
Excess energy over the best structure of this formula in the dataset: 0.00 eV/f.u.

---

# 5
PmNd6Dy2: optimized geometry, PBE.

a = 6.235 Å, b = 7.614 Å, c = 7.614 Å
α = 59.98°, β = 89.98°, γ = 89.98°
Positions (direct):
Dy: 0.784 0.666 0.666
Dy: 0.216 0.334 0.334
Nd: 0.711 0.188 0.623
Nd: 0.289 0.377 0.812
Nd: 0.711 0.623 0.188
Nd: 0.289 0.812 0.377
Nd: 0.289 0.812 0.812
Nd: 0.711 0.188 0.188
Pm: 0.000 0.000 0.000

Calculated values
Excess energy over the best structure of this formula in the dataset: 1.79 eV/f.u.

---

# 6
PmNdDy: optimized geometry, PBE.

a = 3.630 Å, b = 5.119 Å, c = 6.278 Å
α = 114.06°, β = 106.81°, γ = 90.00°
Positions (direct):
Dy: 0.667 0.667 0.334
Pm: 0.333 0.333 0.665
Nd: 0.000 0.000 0.001

Calculated values
Excess energy over the best structure of this formula in the dataset: 0.00 eV/f.u.

---

# 7
PmNdDy: optimized geometry, PBE.

a = 3.528 Å, b = 5.740 Å, c = 5.740 Å
α = 120.00°, β = 90.00°, γ = 90.00°
Positions (direct):
Dy: 0.166 0.333 0.667
Pm: 0.167 0.000 0.000
Nd: 0.667 0.667 0.333

Calculated values
Excess energy over the best structure of this formula in the dataset: 0.14 eV/f.u.

---

# 8
Pm4Nd4Dy: optimized geometry, PBE.

a = 6.328 Å, b = 6.329 Å, c = 12.112 Å
α = 84.95°, β = 64.15°, γ = 48.21°
Positions (direct):
Pm: 0.387 0.444 0.779
Pm: 0.278 0.888 0.555
Pm: 0.613 0.556 0.221
Pm: 0.722 0.112 0.445
Dy: 0.500 0.000 0.000
Nd: 0.169 0.333 0.332
Nd: 0.943 0.223 0.890
Nd: 0.057 0.777 0.110
Nd: 0.831 0.667 0.668

---

# 9
Pm4Nd2Dy3: optimized geometry, PBE.

a = 3.557 Å, b = 8.743 Å, c = 10.130 Å
α = 98.95°, β = 100.11°, γ = 90.00°
Positions (direct):
Dy: 0.106 0.361 0.212
Dy: 0.894 0.639 0.788
Dy: 0.000 0.000 0.000
Pm: 0.720 0.650 0.440
Pm: 0.451 0.315 0.903
Pm: 0.280 0.350 0.560
Pm: 0.549 0.685 0.097
Nd: 0.333 0.957 0.666
Nd: 0.667 0.043 0.334

Calculated values
Excess energy over the best structure of this formula in the dataset: 0.22 eV/f.u.

---

# 10
Pm2Nd2Dy3: optimized geometry, PBE.

a = 3.518 Å, b = 8.845 Å, c = 8.663 Å
α = 115.94°, β = 101.71°, γ = 90.00°
Positions (direct):
Pm: 0.361 0.093 0.722
Pm: 0.639 0.907 0.278
Dy: 0.000 0.500 0.000
Dy: 0.779 0.355 0.559
Dy: 0.221 0.645 0.441
Nd: 0.921 0.795 0.841
Nd: 0.079 0.205 0.159

Calculated values
Excess energy over the best structure of this formula in the dataset: 0.00 eV/f.u.

---

Calculated volume
In order: 34.24, 33.82, 35.11, 34.74, 34.78, 33.68, 33.55, 34.48, 34.03, 33.74
Unit: A^3/atom
Formation energy from the elements
In order: 0.22, 0.16, 0.16, 0.01, 0.22, 0.01, 0.06, 0.01, 0.08, 0.13
Unit: eV/atom
N(E_F)
In order: 19.32, 17.55, 31.54, 17.16, 14.25, 3.83, 4.56, 14.09, 14.04, 11.36
Unit: states/eV/f.u.